(1)
The following is a PBE calculation of a geometry-optimized Nd4Ga3Ag structure, from Alexandria via LeMat-Bulk.

a b c (Å): 4.364 4.324 11.336
angles (deg): 90.00 90.00 90.00
Fractional positions:
Nd (0.500, 0.000, 0.643)
Nd (0.500, 0.500, 0.361)
Nd (0.000, 0.000, 0.145)
Nd (0.000, 0.500, 0.856)
Ga (0.000, 0.000, 0.429)
Ga (0.000, 0.500, 0.571)
Ga (0.500, 0.000, 0.921)
Ag (0.500, 0.500, 0.072)

Calculated values
polymorph energy (0 for the lowest one) = 0.103 eV per formula unit
energy = -4.339 eV per atom
formation enthalpy at 0 K = -0.4634 eV per atom
space group = Pmm2, No. 25

(2)
The following is a PBE calculation of a geometry-optimized Ca2HgOs structure, from Alexandria via LeMat-Bulk.

a b c (Å): 3.057 4.895 6.126
angles (deg): 90.00 90.00 90.00
Fractional positions:
Hg (0.000, 0.000, 0.475)
Os (0.500, 0.500, 0.787)
Ca (0.000, 0.000, 0.948)
Ca (0.500, 0.500, 0.290)

Calculated values
energy = -3.507 eV per atom
formation enthalpy at 0 K = 0.3764 eV per atom
space group = Pmm2, No. 25

(3)
The following is a PBE calculation of a geometry-optimized Sm3Zn2Au6 structure, from Alexandria via LeMat-Bulk.

a b c (Å): 4.411 4.411 12.813
angles (deg): 99.91 99.91 90.00
Fractional positions:
Au (0.683, 0.683, 0.365)
Au (0.897, 0.397, 0.794)
Au (0.317, 0.317, 0.635)
Au (0.397, 0.897, 0.794)
Au (0.103, 0.603, 0.206)
Au (0.603, 0.103, 0.206)
Sm (0.197, 0.197, 0.394)
Sm (0.000, 0.000, 0.000)
Sm (0.803, 0.803, 0.606)
Zn (0.548, 0.548, 0.096)
Zn (0.452, 0.452, 0.904)

Calculated values
energy = -3.900 eV per atom
formation enthalpy at 0 K = -0.5937 eV per atom
space group = I4/mmm, No. 139

(4)
The following is a PBE calculation of a geometry-optimized MnPOs2 structure, from Alexandria via LeMat-Bulk.

a b c (Å): 2.837 2.837 8.081
angles (deg): 90.00 90.00 118.65
Site moments in Bohr magnetons follow the coordinates.
Fractional positions:
Mn (0.500, 0.500, 0.750)  3.45
Os (0.000, 0.000, 0.476)  0.11
Os (0.000, 0.000, 0.024)  0.11
P (0.500, 0.500, 0.250)  0.00

Calculated values
energy = -8.830 eV per atom
formation enthalpy at 0 K = 0.4298 eV per atom
space group = Cmmm, No. 65

(5)
The following is a PBE calculation of a geometry-optimized LiSc2TiNb structure, from Alexandria via LeMat-Bulk.

a b c (Å): 4.905 4.849 4.905
angles (deg): 90.00 90.00 90.00
Site moments in Bohr magnetons follow the coordinates.
Fractional positions:
Sc (0.000, 0.000, 0.500)  0.05
Sc (0.500, 0.000, 0.000)  0.08
Li (0.000, 0.500, 0.000)  0.03
Ti (0.500, 0.500, 0.500)  0.02
Nb (0.000, 0.000, 0.000)  0.42

Calculated values
energy = -5.443 eV per atom
formation enthalpy at 0 K = 1.0652 eV per atom
space group = P4/mmm, No. 123

(6)
The following is a PBE calculation of a geometry-optimized FeAgOs2 structure, from Alexandria via LeMat-Bulk.

a b c (Å): 4.800 4.800 2.697
angles (deg): 90.00 90.00 111.79
Site moments in Bohr magnetons follow the coordinates.
Fractional positions:
Ag (0.500, 0.000, 0.500)  0.02
Os (0.000, 0.000, 0.000)  -0.04
Os (0.500, 0.500, 0.000)  -0.04
Fe (0.000, 0.500, 0.500)  2.36

Calculated values
polymorph energy (0 for the lowest one) = 1.447 eV per formula unit
energy = -7.733 eV per atom
formation enthalpy at 0 K = 0.7106 eV per atom
space group = Cmmm, No. 65

(7)
The following is a PBE calculation of a geometry-optimized SrBeBi2 structure, from Alexandria via LeMat-Bulk.

a b c (Å): 6.054 6.054 8.914
angles (deg): 70.15 70.15 90.00
Fractional positions:
Be (0.500, 0.500, 0.000)
Be (0.250, 0.750, 0.500)
Bi (0.375, 0.529, 0.750)
Bi (0.875, 0.721, 0.750)
Bi (0.471, 0.125, 0.250)
Bi (0.279, 0.625, 0.250)
Sr (0.750, 0.250, 0.500)
Sr (0.000, 0.000, 0.000)

Calculated values
energy = -3.327 eV per atom
formation enthalpy at 0 K = -0.0341 eV per atom
space group = I-42d, No. 122